Record 1
## Tb2SmY2 (PBE)

Data for Tb2SmY2 after structural relaxation.

Properties
E above lowest polymorph (eV/atom): 0.032
ΔE_f (eV/atom): 0.118

a b c (Å): 5.8571 6.8716 9.8677
angles (deg): 97.89 72.74 64.77
Fractional coordinates of all 10 atoms:
Tb  0.1099  0.2367  0.5434
Tb  0.8901  0.7633  0.4566
Tb  0.4754  0.2849  0.7643
Tb  0.5246  0.7151  0.2357
Sm  0.2979  0.2519  0.1522
Sm  0.7021  0.7481  0.8478
Y  0.6889  0.2585  0.3636
Y  0.3111  0.7415  0.6364
Y  0.0754  0.7792  0.0700
Y  0.9246  0.2208  0.9300

Record 2
## Tb2Sm5Y12 (PBE)

Data for Tb2Sm5Y12 after structural relaxation.

Properties
E above lowest polymorph (eV/atom): 0.061
ΔE_f (eV/atom): 0.118

a b c (Å): 9.3787 9.1035 8.6853
angles (deg): 91.79 90.00 121.01
Fractional coordinates of all 19 atoms:
Tb  0.6726  0.0000  0.0000
Tb  0.3274  0.0000  0.0000
Sm  0.2299  0.4599  0.5717
Sm  0.2947  0.5895  0.9802
Sm  0.0000  0.0000  0.5000
Sm  0.7053  0.4105  0.0198
Sm  0.7701  0.5401  0.4283
Y  0.9254  0.8508  0.1262
Y  0.0303  0.7027  0.7622
Y  0.6725  0.7027  0.7622
Y  0.1804  0.7416  0.3340
Y  0.5612  0.7416  0.3340
Y  0.4427  0.8854  0.6669
Y  0.5573  0.1146  0.3331
Y  0.8196  0.2584  0.6660
Y  0.4388  0.2584  0.6660
Y  0.9697  0.2973  0.2378
Y  0.3275  0.2973  0.2378
Y  0.0746  0.1492  0.8738

Record 3
## TbSm10Y6 (PBE)

Data for TbSm10Y6 after structural relaxation.

Properties
ΔE_f (eV/atom): 0.132

a b c (Å): 6.8881 9.8047 9.8047
angles (deg): 120.00 90.00 90.00
Fractional coordinates of all 17 atoms:
Tb  0.5000  0.0000  0.0000
Sm  0.8162  0.7257  0.7257
Sm  0.8162  0.0000  0.2743
Sm  0.8162  0.2743  0.0000
Sm  0.1838  0.2743  0.2743
Sm  0.1838  0.0000  0.7257
Sm  0.1838  0.7257  0.0000
Sm  0.5000  0.3333  0.6667
Sm  0.5000  0.6667  0.3333
Sm  0.0000  0.6667  0.3333
Sm  0.0000  0.3333  0.6667
Y  0.6935  0.3724  0.3724
Y  0.6935  0.0000  0.6276
Y  0.6935  0.6276  0.0000
Y  0.3065  0.6276  0.6276
Y  0.3065  0.0000  0.3724
Y  0.3065  0.3724  0.0000

Q: Among the records above, which one has the highest ΔE_f?
A: TbSm10Y6